Record 1
Material: TmLu2Rh
Method: DFT, PBE
State: optimized geometry

a b c (Å): 3.4384 3.4384 8.3360
angles (deg): 90.00 90.00 90.00
Closest atoms and distances in Å follow each position.
Space group P4/mmm (No. 123)
One atom of each set of equivalent atoms:
Tm 0.0000 0.0000 0.0000  4 Tm 3.44, 8 Lu 3.54
Lu 0.5000 0.5000 0.3094  4 Rh 2.90, 1 Lu 3.18
Rh 0.0000 0.0000 0.5000  8 Lu 2.90

Results
For the formation energy, the calculation gives -0.466 eV/atom. The value obtained for the volume is 99 Å³ per cell. As for the mass density: 10.48 g/cm3.

---

Record 2
Material: TmLuRh2
Method: DFT, PBE
State: optimized geometry

a b c (Å): 6.7280 6.7280 6.7280
angles (deg): 90.00 90.00 90.00
Closest atoms and distances in Å follow each position.
Space group Fm-3m (No. 225)
One atom of each set of equivalent atoms:
Tm 0.0000 0.0000 0.0000  8 Rh 2.91
Lu 0.0000 0.0000 0.5000  8 Rh 2.91
Rh 0.2500 0.2500 0.2500  4 Tm 2.91, 4 Lu 2.91

Results
For the formation energy, the calculation gives -0.990 eV/atom. The value obtained for the volume is 305 Å³ per cell. For the energy above the most stable polymorph in this dataset, the calculation gives 0.8 meV per atom. As for the mass density: 11.99 g/cm3.

---

Record 3
Material: LuURh2
Method: DFT, PBE
State: optimized geometry

a b c (Å): 3.3437 3.3437 6.9511
angles (deg): 90.00 90.00 90.00
Closest atoms and distances in Å follow each position.
Space group P4/mmm (No. 123)
One atom of each set of equivalent atoms:
Lu 0.0000 0.0000 0.0000  8 Rh 2.95
U 0.0000 0.0000 0.5000  8 Rh 2.92
Rh 0.5000 0.5000 0.2533  4 U 2.92, 4 Lu 2.95

Results
For the formation energy, the calculation gives -0.658 eV/atom. The value obtained for the volume is 78 Å³ per cell. For the energy above the most stable polymorph in this dataset, the calculation gives 0.0 meV per atom. As for the mass density: 13.22 g/cm3.

---

Record 4
Material: LuURh2
Method: DFT, PBE
State: optimized geometry

a b c (Å): 3.7965 3.7965 20.4316
angles (deg): 90.00 90.00 120.00
Closest atoms and distances in Å follow each position.
Space group R-3m (No. 166, hexagonal axes)
One atom of each set of equivalent atoms:
Lu 0.0000 0.0000 0.0000  6 Rh 2.86
U 0.0000 0.0000 0.5000  6 Rh 2.70
Rh 0.0000 0.0000 0.2435  3 U 2.70, 3 Lu 2.86

Results
For the formation energy, the calculation gives -0.558 eV/atom. The value obtained for the volume is 255 Å³ per cell. For the energy above the most stable polymorph in this dataset, the calculation gives 99.9 meV per atom. As for the mass density: 12.09 g/cm3.

---

One value per record, in order, for D(E_F): 5.31 8.97 3.31 15.87 states/eV/cell.
One value per record, in order, for E: -5.682 -6.914 -8.286 -8.186 eV per atom.